The following is a PBEsol calculation of a relaxed structure of SrRe2Tc, from Alexandria.

Values from the calculation:
Magnetization (Bohr magnetons per cell): 0.0
VASP energy (eV/atom): -8.7598
Fermi-level density of states (states/eV/cell): 4.74
ρ (Mg/m³): 13.5

Unit cell a=2.624 b=5.415 c=5.535 alpha=119.28 beta=90.00 gamma=90.00
Atoms (fractional coordinates):
Re  0.000  0.000  0.500
Re  0.000  0.500  0.500
Sr  0.500  0.000  0.000
Tc  0.500  0.500  0.000